No. 1
Density functional theory data (PBE-GGA) for an optimized crystal structure of Ni2HgPb.

Offset from the most stable computed form = 60 meV per atom
Energy relative to the elements = 0.2637 eV per atom
Calculated density = 11.9 g/cm3
Volume = 73.3 Å³ per cell
Symmetry = Imm2

Cell: 6.1390 6.1390 6.1390 Å, 150.23 140.12 50.55°
Fractional coordinates of all 4 atoms:
Ni  0.0000  0.0000  0.0000
Ni  0.8230  0.3230  0.5000
Hg  0.4880  0.4880  0.0000
Pb  0.2172  0.7172  0.5000

---

No. 2
Density functional theory data (PBE-GGA) for an optimized crystal structure of Ni2HgPb.

Offset from the most stable computed form = 76 meV per atom
Energy relative to the elements = 0.2802 eV per atom
Calculated density = 12.9 g/cm3
Volume = 67.8 Å³ per cell
Symmetry = P4/mmm

Cell: 4.5391 4.5391 3.2903 Å, 90.00 90.00 90.00°
Fractional coordinates of all 4 atoms:
Ni  0.0000  0.5000  0.0000
Ni  0.5000  0.0000  0.0000
Hg  0.0000  0.0000  0.5000
Pb  0.5000  0.5000  0.5000

---

No. 3
Density functional theory data (PBE-GGA) for an optimized crystal structure of Ni2HgPb2.

Offset from the most stable computed form = 134 meV per atom
Energy relative to the elements = 0.3054 eV per atom
Calculated density = 11.2 g/cm3
Volume = 108.7 Å³ per cell
Symmetry = I4/mmm

Cell: 5.3811 5.3811 5.3811 Å, 120.85 120.85 88.53°
Fractional coordinates of all 5 atoms:
Ni  0.1526  0.1526  0.0000
Ni  0.8474  0.8474  0.0000
Hg  0.5000  0.5000  0.0000
Pb  0.2500  0.7500  0.5000
Pb  0.7500  0.2500  0.5000

---

No. 4
Density functional theory data (PBE-GGA) for an optimized crystal structure of NiHg2Pb.

Energy relative to the elements = 0.1389 eV per atom
Calculated density = 11.3 g/cm3
Volume = 98.2 Å³ per cell
Symmetry = Cm

Cell: 3.2586 3.2586 9.2502 Å, 91.01 91.01 90.10°
Fractional coordinates of all 4 atoms:
Ni  0.0000  0.0000  0.0000
Hg  0.4897  0.4897  0.8309
Hg  0.4966  0.4966  0.5176
Pb  0.5087  0.5087  0.1778

---

No. 5
Density functional theory data (PBE-GGA) for an optimized crystal structure of NiHg2Pb.

Energy relative to the elements = 0.1315 eV per atom
Calculated density = 12.0 g/cm3
Volume = 92.5 Å³ per cell
Symmetry = Imm2

Cell: 7.2071 7.2071 7.2071 Å, 155.29 143.63 44.47°
Fractional coordinates of all 4 atoms:
Ni  0.0000  0.0000  0.0000
Hg  0.4988  0.4988  0.0000
Hg  0.8284  0.3284  0.5000
Pb  0.1795  0.6795  0.5000

---

No. 6
Density functional theory data (PBE-GGA) for an optimized crystal structure of Ni2HgPb2.

Offset from the most stable computed form = 0 meV per atom
Energy relative to the elements = 0.1710 eV per atom
Calculated density = 12.2 g/cm3
Volume = 198.9 Å³ per cell
Symmetry = P4/mbm

Cell: 7.2123 7.2123 3.8239 Å, 90.00 90.00 90.00°
Fractional coordinates of all 10 atoms:
Ni  0.1303  0.3697  0.0000
Ni  0.3697  0.8697  0.0000
Ni  0.6303  0.1303  0.0000
Ni  0.8697  0.6303  0.0000
Hg  0.0000  0.0000  0.0000
Hg  0.5000  0.5000  0.0000
Pb  0.1646  0.6646  0.5000
Pb  0.3354  0.1646  0.5000
Pb  0.6646  0.8354  0.5000
Pb  0.8354  0.3354  0.5000

---

No. 7
Density functional theory data (PBE-GGA) for an optimized crystal structure of NiHgPb3.

Offset from the most stable computed form = 0 meV per atom
Energy relative to the elements = 0.0352 eV per atom
Calculated density = 10.8 g/cm3
Volume = 270.0 Å³ per cell
Symmetry = P2_1/m

Cell: 8.3002 4.2648 8.3072 Å, 90.00 113.32 90.00°
Fractional coordinates of all 10 atoms:
Ni  0.0789  0.2500  0.0924
Ni  0.9211  0.7500  0.9076
Hg  0.3387  0.7500  0.7274
Hg  0.6613  0.2500  0.2726
Pb  0.0273  0.2500  0.7411
Pb  0.2914  0.7500  0.0806
Pb  0.3255  0.2500  0.4281
Pb  0.6745  0.7500  0.5719
Pb  0.7086  0.2500  0.9194
Pb  0.9727  0.7500  0.2589

---

No. 8
Density functional theory data (PBE-GGA) for an optimized crystal structure of NiHgPb4.

Energy relative to the elements = 0.5964 eV per atom
Calculated density = 9.8 g/cm3
Volume = 184.6 Å³ per cell
Symmetry = F-43m

Cell: 6.3910 6.3910 6.3910 Å, 60.00 60.00 60.00°
Fractional coordinates of all 6 atoms:
Ni  0.0000  0.0000  0.0000
Hg  0.2500  0.2500  0.2500
Pb  0.1236  0.6255  0.6255
Pb  0.6255  0.1236  0.6255
Pb  0.6255  0.6255  0.1236
Pb  0.6255  0.6255  0.6255